The following is a DFT calculation (PBE-GGA) of a relaxed structure of ZnMoP4.

space group: F-43m
DOS at the Fermi energy: 3.191 states/eV/f.u.
magnetic moment: 0.0 μB per cell
energy of formation: 0.680 eV/atom
VASP energy: -4.94 eV/atom

Cell: 4.982 4.982 4.982 Å, 60.00 60.00 60.00°
Fractional coordinates of all 6 atoms:
Zn 0.000 0.000 0.000
Mo 0.750 0.750 0.750
P 0.377 0.377 0.377
P 0.377 0.377 0.870
P 0.377 0.870 0.377
P 0.870 0.377 0.377